*i*
A plane-wave DFT calculation with PBE was carried out for a relaxed structure of Tb2GdGa.

Results
M_tot	7.87	μB/cell

a b c (Å): 4.7559 4.7559 4.7150
angles (deg): 90.00 90.00 90.00
Closest atoms and distances in Å follow each position.
Space group P4/mmm (No. 123)
Unique sites:
Tb 0.0000 0.5000 0.0000  4 Gd 3.35, 4 Ga 3.35, 4 Tb 3.36
Gd 0.0000 0.0000 0.5000  8 Tb 3.35, 4 Ga 3.36
Ga 0.5000 0.5000 0.5000  8 Tb 3.35, 4 Gd 3.36


*ii*
A plane-wave DFT calculation with PBE was carried out for a relaxed structure of Tb2GdGa.

Results
M_tot	32.94	μB/cell

a b c (Å): 7.5363 7.5363 7.5363
angles (deg): 90.00 90.00 90.00
Closest atoms and distances in Å follow each position.
Space group Fm-3m (No. 225)
Unique sites:
Tb 0.2500 0.2500 0.2500  4 Gd 3.26, 4 Ga 3.26
Gd 0.0000 0.0000 0.0000  8 Tb 3.26
Ga 0.0000 0.0000 0.5000  8 Tb 3.26


*iii*
A plane-wave DFT calculation with PBE was carried out for a relaxed structure of Tb2GdGa.

Results
M_tot	7.61	μB/cell

a b c (Å): 3.5431 3.5431 8.9074
angles (deg): 90.00 90.00 90.00
Closest atoms and distances in Å follow each position.
Space group P4/mmm (No. 123)
Unique sites:
Tb 0.0000 0.0000 0.2078  4 Ga 3.12
Gd 0.5000 0.5000 0.5000  4 Gd 3.54, 8 Tb 3.61
Ga 0.5000 0.5000 0.0000  8 Tb 3.12


Most stable of them? *iii*.


*i*
A plane-wave DFT calculation with PBE was carried out for a relaxed structure of GdGaTc.

Results
M_tot	14.13	μB/cell

a b c (Å): 3.4561 3.4561 9.8221
angles (deg): 90.00 90.00 90.00
Closest atoms and distances in Å follow each position.
Space group I4mm (No. 107)
Unique sites:
Gd 0.0000 0.0000 0.0000  5 Ga 2.90-3.17, 5 Tc 2.98-3.12
Ga 0.0000 0.0000 0.7051  4 Tc 2.63, 1 Gd 2.90
Tc 0.0000 0.0000 0.3032  4 Ga 2.63


*ii*
A plane-wave DFT calculation with PBE was carried out for a relaxed structure of GdGaTc.

Results
M_tot	7.09	μB/cell

a b c (Å): 4.3679 4.3679 3.7474
angles (deg): 90.00 90.00 120.00
Closest atoms and distances in Å follow each position.
Space group P-6m2 (No. 187)
Unique sites:
Gd 0.0000 0.0000 0.0000  6 Ga 3.14, 6 Tc 3.14
Ga 0.3333 0.6667 0.5000  3 Tc 2.52
Tc 0.6667 0.3333 0.5000  3 Ga 2.52


Most stable of them? *i*.


*i*
A plane-wave DFT calculation with PBE was carried out for a relaxed structure of GdThGa2.

Results
M_tot	28.94	μB/cell

a b c (Å): 7.3207 7.3207 7.3207
angles (deg): 90.00 90.00 90.00
Closest atoms and distances in Å follow each position.
Space group Fm-3m (No. 225)
Unique sites:
Gd 0.0000 0.0000 0.0000  8 Ga 3.17
Th 0.0000 0.0000 0.5000  8 Ga 3.17
Ga 0.2500 0.2500 0.2500  4 Gd 3.17, 4 Th 3.17


*ii*
A plane-wave DFT calculation with PBE was carried out for a relaxed structure of GdThGa2.

Results
M_tot	21.54	μB/cell

a b c (Å): 3.7293 3.7293 26.5573
angles (deg): 90.00 90.00 120.00
Closest atoms and distances in Å follow each position.
Space group R-3m (No. 166, hexagonal axes)
Unique sites:
Gd 0.0000 0.0000 0.0000  6 Ga 3.04
Th 0.0000 0.0000 0.5000  6 Ga 3.13
Ga 0.0000 0.0000 0.2524  3 Gd 3.04, 3 Th 3.13


*iii*
A plane-wave DFT calculation with PBE was carried out for a relaxed structure of GdThGa2.

Results
M_tot	7.20	μB/cell

a b c (Å): 3.4336 3.4336 8.2188
angles (deg): 90.00 90.00 90.00
Closest atoms and distances in Å follow each position.
Space group P4/mmm (No. 123)
Unique sites:
Gd 0.0000 0.0000 0.0000  8 Ga 3.14, 4 Gd 3.43
Th 0.0000 0.0000 0.5000  8 Ga 3.22, 4 Th 3.43
Ga 0.5000 0.5000 0.2426  4 Gd 3.14, 4 Th 3.22, 4 Ga 3.43


Most stable of them? *iii*.


*i*
A plane-wave DFT calculation with PBE was carried out for a relaxed structure of Gd2ThGa.

Results
M_tot	14.06	μB/cell

a b c (Å): 3.5614 3.5614 8.7441
angles (deg): 90.00 90.00 90.00
Closest atoms and distances in Å follow each position.
Space group P4/mmm (No. 123)
Unique sites:
Gd 0.0000 0.0000 0.2158  4 Ga 3.15
Th 0.5000 0.5000 0.5000  8 Gd 3.54, 4 Th 3.56
Ga 0.5000 0.5000 0.0000  8 Gd 3.15


*ii*
A plane-wave DFT calculation with PBE was carried out for a relaxed structure of Gd2ThGa.

Results
M_tot	43.62	μB/cell

a b c (Å): 3.5280 3.5280 34.9478
angles (deg): 90.00 90.00 120.00
Closest atoms and distances in Å follow each position.
Space group R-3m (No. 166, hexagonal axes)
Unique sites:
Gd 0.0000 0.0000 0.0866  1 Ga 3.03
Th 0.0000 0.0000 0.5000  6 Gd 3.46, 6 Th 3.53
Ga 0.0000 0.0000 0.0000  2 Gd 3.03


Most stable of them? *i*.


*i*
A plane-wave DFT calculation with PBE was carried out for a relaxed structure of GdTlGa2.

Results
M_tot	7.09	μB/cell

a b c (Å): 4.5454 4.5454 4.3701
angles (deg): 90.00 90.00 90.00
Closest atoms and distances in Å follow each position.
Space group P4/mmm (No. 123)
Unique sites:
Gd 0.0000 0.0000 0.0000  8 Ga 3.15, 4 Tl 3.21
Tl 0.5000 0.5000 0.0000  8 Ga 3.15, 4 Gd 3.21
Ga 0.0000 0.5000 0.5000  4 Gd 3.15, 4 Tl 3.15, 4 Ga 3.21


*ii*
A plane-wave DFT calculation with PBE was carried out for a relaxed structure of GdTlGa2.

Results
M_tot	28.59	μB/cell

a b c (Å): 7.2229 7.2229 7.2229
angles (deg): 90.00 90.00 90.00
Closest atoms and distances in Å follow each position.
Space group Fm-3m (No. 225)
Unique sites:
Gd 0.0000 0.0000 0.0000  8 Ga 3.13
Tl 0.0000 0.0000 0.5000  8 Ga 3.13
Ga 0.2500 0.2500 0.2500  4 Gd 3.13, 4 Tl 3.13


Most stable of them? *i*.


*i*
A plane-wave DFT calculation with PBE was carried out for a relaxed structure of Gd2TmGa.

Results
M_tot	61.84	μB/cell

a b c (Å): 7.5254 7.5254 7.5254
angles (deg): 90.00 90.00 90.00
Closest atoms and distances in Å follow each position.
Space group Fm-3m (No. 225)
Unique sites:
Gd 0.2500 0.2500 0.2500  4 Ga 3.26, 4 Tm 3.26
Tm 0.0000 0.0000 0.0000  8 Gd 3.26
Ga 0.0000 0.0000 0.5000  8 Gd 3.26


*ii*
A plane-wave DFT calculation with PBE was carried out for a relaxed structure of Gd2TmGa.

Results
M_tot	14.69	μB/cell

a b c (Å): 3.5315 3.5315 8.9264
angles (deg): 90.00 90.00 90.00
Closest atoms and distances in Å follow each position.
Space group P4/mmm (No. 123)
Unique sites:
Gd 0.0000 0.0000 0.2130  4 Ga 3.14
Tm 0.5000 0.5000 0.5000  4 Tm 3.53, 8 Gd 3.58
Ga 0.5000 0.5000 0.0000  8 Gd 3.14


Most stable of them? *ii*.


*i*
A plane-wave DFT calculation with PBE was carried out for a relaxed structure of Gd2TmGa.

Results
M_tot	15.36	μB/cell

a b c (Å): 4.7068 4.7068 4.7630
angles (deg): 90.00 90.00 90.00
Closest atoms and distances in Å follow each position.
Space group P4/mmm (No. 123)
Unique sites:
Gd 0.0000 0.5000 0.0000  4 Gd 3.33, 4 Tm 3.35, 4 Ga 3.35
Tm 0.0000 0.0000 0.5000  4 Ga 3.33, 8 Gd 3.35
Ga 0.5000 0.5000 0.5000  4 Tm 3.33, 8 Gd 3.35


*ii*
A plane-wave DFT calculation with PBE was carried out for a relaxed structure of Gd2TmGa.

Results
M_tot	44.45	μB/cell

a b c (Å): 3.4743 3.4743 35.1067
angles (deg): 90.00 90.00 120.00
Closest atoms and distances in Å follow each position.
Space group R-3m (No. 166, hexagonal axes)
Unique sites:
Gd 0.0000 0.0000 0.0861  1 Ga 3.02
Tm 0.0000 0.0000 0.5000  6 Gd 3.47, 6 Tm 3.47
Ga 0.0000 0.0000 0.0000  2 Gd 3.02


Most stable of them? *i*.


*i*
A plane-wave DFT calculation with PBE was carried out for a relaxed structure of GdTm2Ga.

Results
M_tot	7.77	μB/cell

a b c (Å): 4.7023 4.7023 4.6654
angles (deg): 90.00 90.00 90.00
Closest atoms and distances in Å follow each position.
Space group P4/mmm (No. 123)
Unique sites:
Gd 0.0000 0.0000 0.0000  8 Tm 3.31, 4 Ga 3.33
Tm 0.0000 0.5000 0.5000  4 Gd 3.31, 4 Ga 3.31, 4 Tm 3.33
Ga 0.5000 0.5000 0.0000  8 Tm 3.31, 4 Gd 3.33


*ii*
A plane-wave DFT calculation with PBE was carried out for a relaxed structure of GdTm2Ga.

Results
M_tot	7.60	μB/cell

a b c (Å): 3.4956 3.4956 8.7955
angles (deg): 90.00 90.00 90.00
Closest atoms and distances in Å follow each position.
Space group P4/mmm (No. 123)
Unique sites:
Gd 0.0000 0.0000 0.0000  4 Gd 3.50, 8 Tm 3.57
Tm 0.5000 0.5000 0.2934  4 Ga 3.07
Ga 0.0000 0.0000 0.5000  8 Tm 3.07


Most stable of them? *ii*.


*i*
A plane-wave DFT calculation with PBE was carried out for a relaxed structure of Gd2YGa.

Results
M_tot	14.70	μB/cell

a b c (Å): 3.5578 3.5578 8.9827
angles (deg): 90.00 90.00 90.00
Closest atoms and distances in Å follow each position.
Space group P4/mmm (No. 123)
Unique sites:
Gd 0.0000 0.0000 0.2085  4 Ga 3.14
Y 0.5000 0.5000 0.5000  4 Y 3.56, 8 Gd 3.63
Ga 0.5000 0.5000 0.0000  8 Gd 3.14


*ii*
A plane-wave DFT calculation with PBE was carried out for a relaxed structure of Gd2YGa.

Results
M_tot	44.59	μB/cell

a b c (Å): 3.5029 3.5029 35.3685
angles (deg): 90.00 90.00 120.00
Closest atoms and distances in Å follow each position.
Space group R-3m (No. 166, hexagonal axes)
Unique sites:
Gd 0.0000 0.0000 0.0855  1 Ga 3.02
Y 0.0000 0.0000 0.5000  6 Y 3.50, 6 Gd 3.51
Ga 0.0000 0.0000 0.0000  2 Gd 3.02


Most stable of them? *i*.


*i*
A plane-wave DFT calculation with PBE was carried out for a relaxed structure of GdY2Ga.

Results
M_tot	7.71	μB/cell

a b c (Å): 3.5453 3.5453 8.9219
angles (deg): 90.00 90.00 90.00
Closest atoms and distances in Å follow each position.
Space group P4/mmm (No. 123)
Unique sites:
Gd 0.0000 0.0000 0.0000  4 Gd 3.55, 8 Y 3.63
Y 0.5000 0.5000 0.2940  4 Ga 3.11
Ga 0.0000 0.0000 0.5000  8 Y 3.11


*ii*
A plane-wave DFT calculation with PBE was carried out for a relaxed structure of GdY2Ga.

Results
M_tot	8.01	μB/cell

a b c (Å): 4.7738 4.7738 4.7036
angles (deg): 90.00 90.00 90.00
Closest atoms and distances in Å follow each position.
Space group P4/mmm (No. 123)
Unique sites:
Gd 0.0000 0.0000 0.0000  8 Y 3.35, 4 Ga 3.38
Y 0.0000 0.5000 0.5000  4 Ga 3.35, 4 Gd 3.35, 4 Y 3.38
Ga 0.5000 0.5000 0.0000  8 Y 3.35, 4 Gd 3.38


Most stable of them? *i*.


*i*
A plane-wave DFT calculation with PBE was carried out for a relaxed structure of GdYGa2.

Results
M_tot	28.05	μB/cell

a b c (Å): 7.1892 7.1892 7.1892
angles (deg): 90.00 90.00 90.00
Closest atoms and distances in Å follow each position.
Space group Fm-3m (No. 225)
Unique sites:
Gd 0.0000 0.0000 0.0000  8 Ga 3.11
Y 0.0000 0.0000 0.5000  8 Ga 3.11
Ga 0.2500 0.2500 0.2500  4 Gd 3.11, 4 Y 3.11


*ii*
A plane-wave DFT calculation with PBE was carried out for a relaxed structure of GdYGa2.

Results
M_tot	7.17	μB/cell

a b c (Å): 3.5803 3.5803 7.2580
angles (deg): 90.00 90.00 90.00
Closest atoms and distances in Å follow each position.
Space group P4/mmm (No. 123)
Unique sites:
Gd 0.0000 0.0000 0.0000  8 Ga 3.13
Y 0.0000 0.0000 0.5000  8 Ga 3.10
Ga 0.5000 0.5000 0.2543  4 Y 3.10, 4 Gd 3.13


Most stable of them? *ii*.


*i*
A plane-wave DFT calculation with PBE was carried out for a relaxed structure of GdZrGa2.

Results
M_tot	20.94	μB/cell

a b c (Å): 3.5478 3.5478 25.1910
angles (deg): 90.00 90.00 120.00
Closest atoms and distances in Å follow each position.
Space group R-3m (No. 166, hexagonal axes)
Unique sites:
Gd 0.0000 0.0000 0.0000  6 Ga 3.02
Zr 0.0000 0.0000 0.5000  6 Ga 2.85
Ga 0.0000 0.0000 0.2454  3 Zr 2.85, 3 Gd 3.02


*ii*
A plane-wave DFT calculation with PBE was carried out for a relaxed structure of GdZrGa2.

Results
M_tot	7.41	μB/cell

a b c (Å): 4.6045 4.6045 3.9752
angles (deg): 90.00 90.00 90.00
Closest atoms and distances in Å follow each position.
Space group P4/mmm (No. 123)
Unique sites:
Gd 0.0000 0.0000 0.0000  8 Ga 3.04, 4 Zr 3.26
Zr 0.5000 0.5000 0.0000  8 Ga 3.04, 4 Gd 3.26
Ga 0.0000 0.5000 0.5000  4 Zr 3.04, 4 Gd 3.04, 4 Ga 3.26


*iii*
A plane-wave DFT calculation with PBE was carried out for a relaxed structure of GdZrGa2.

Results
M_tot	7.12	μB/cell

a b c (Å): 3.2089 3.2089 8.1183
angles (deg): 90.00 90.00 90.00
Closest atoms and distances in Å follow each position.
Space group P4/mmm (No. 123)
Unique sites:
Gd 0.0000 0.0000 0.0000  8 Ga 3.12, 4 Gd 3.21
Zr 0.0000 0.0000 0.5000  8 Ga 2.97, 4 Zr 3.21
Ga 0.5000 0.5000 0.2642  4 Zr 2.97, 4 Gd 3.12, 4 Ga 3.21


*iv*
A plane-wave DFT calculation with PBE was carried out for a relaxed structure of GdZrGa2.

Results
M_tot	28.34	μB/cell

a b c (Å): 6.9699 6.9699 6.9699
angles (deg): 90.00 90.00 90.00
Closest atoms and distances in Å follow each position.
Space group Fm-3m (No. 225)
Unique sites:
Gd 0.0000 0.0000 0.0000  8 Ga 3.02
Zr 0.0000 0.0000 0.5000  8 Ga 3.02
Ga 0.2500 0.2500 0.2500  4 Zr 3.02, 4 Gd 3.02


Most stable of them? *iii*.


*i*
A plane-wave DFT calculation with PBE was carried out for a relaxed structure of GdZr2Ga.

Results
M_tot	23.97	μB/cell

a b c (Å): 3.1668 3.1668 32.8126
angles (deg): 90.00 90.00 120.00
Closest atoms and distances in Å follow each position.
Space group R-3m (No. 166, hexagonal axes)
Unique sites:
Gd 0.0000 0.0000 0.0000  2 Zr 3.14, 6 Gd 3.17
Zr 0.0000 0.0000 0.0958  3 Ga 2.96, 1 Gd 3.14, 6 Zr 3.17
Ga 0.0000 0.0000 0.5000  6 Zr 2.96, 6 Ga 3.17


*ii*
A plane-wave DFT calculation with PBE was carried out for a relaxed structure of GdZr2Ga.

Results
M_tot	7.13	μB/cell

a b c (Å): 4.4951 4.4951 4.4053
angles (deg): 90.00 90.00 90.00
Closest atoms and distances in Å follow each position.
Space group P4/mmm (No. 123)
Unique sites:
Gd 0.0000 0.0000 0.0000  8 Zr 3.15, 4 Ga 3.18
Zr 0.0000 0.5000 0.5000  4 Ga 3.15, 4 Gd 3.15, 4 Zr 3.18
Ga 0.5000 0.5000 0.0000  8 Zr 3.15, 4 Gd 3.18


*iii*
A plane-wave DFT calculation with PBE was carried out for a relaxed structure of GdZr2Ga.

Results
M_tot	7.15	μB/cell

a b c (Å): 3.1614 3.1614 9.1823
angles (deg): 90.00 90.00 90.00
Closest atoms and distances in Å follow each position.
Space group P4/mmm (No. 123)
Unique sites:
Gd 0.0000 0.0000 0.0000  4 Gd 3.16, 8 Zr 3.50
Zr 0.5000 0.5000 0.2932  4 Ga 2.93, 4 Zr 3.16
Ga 0.0000 0.0000 0.5000  8 Zr 2.93, 4 Ga 3.16


Most stable of them? *ii*.